TmTlSnCl6 | PBE | relaxed

## Properties
Uncorrected formation energy = -14.42 eV per formula unit

Cell lengths 7.212, 7.212, 6.876 Å; angles 90.00, 90.00, 120.00 degrees
Sites, in units of the cell vectors:
Tm: 0.000 0.000 0.000
Tl: 0.333 0.667 0.500
Sn: 0.667 0.333 0.000
Cl: 0.308 0.022 0.219
Cl: 0.308 0.286 0.781
Cl: 0.714 0.022 0.781
Cl: 0.714 0.692 0.219
Cl: 0.978 0.286 0.219
Cl: 0.978 0.692 0.781